Record 1
VASP calculation (GGA-PBE) on crystalline BaCa2YRh at its relaxed geometry.

**Formation energy from the elements**: -121 kJ/mol of formula units

Cell lengths 5.7676, 5.7676, 5.4295 Å; angles 90.00, 90.00, 90.00 degrees
Positions (direct):
Ba 0.0000 0.0000 0.0000
Ca 0.0000 0.5000 0.5000
Ca 0.5000 0.0000 0.5000
Y 0.5000 0.5000 0.0000
Rh 0.5000 0.5000 0.5000



Record 2
VASP calculation (GGA-PBE) on crystalline In2Si2C at its relaxed geometry.

**Energy above the most stable polymorph in this dataset**: 751 meV/atom
**Formation energy without anion corrections**: 1534 meV per atom

Cell lengths 5.9986, 5.9986, 5.9986 Å; angles 133.41, 133.41, 68.02 degrees
Positions (direct):
In 0.2500 0.7500 0.5000
In 0.7500 0.2500 0.5000
Si 0.1143 0.1143 0.0000
Si 0.8857 0.8857 0.0000
C 0.5000 0.5000 0.0000



Record 3
VASP calculation (GGA-PBE) on crystalline Ca2Nd5Sb4 at its relaxed geometry.

**Formation energy without anion corrections**: -673 meV per atom

Cell lengths 11.2226, 11.2226, 7.9329 Å; angles 106.23, 106.23, 22.87 degrees
Positions (direct):
Ca 0.0709 0.0709 0.1025
Ca 0.9291 0.9291 0.8975
Nd 0.0000 0.0000 0.5000
Nd 0.3277 0.3277 0.0655
Nd 0.3454 0.3454 0.5441
Nd 0.6546 0.6546 0.4559
Nd 0.6723 0.6723 0.9345
Sb 0.2146 0.2146 0.2417
Sb 0.4791 0.4791 0.2115
Sb 0.5209 0.5209 0.7885
Sb 0.7854 0.7854 0.7583



In the order shown, the computed size of the total moment values come out to 0.0, 1.8, 0.0 μB per formula unit.
In the order shown, the computed calculated density values come out to 3.8, 4.4, 5.7 g/cm3.